! Ac2Tb2Dy5 (PBE, optimized geometry); values from VASP
&SYSTEM
  ibrav = 0, nat = 9, ntyp = 3
/
ATOMIC_SPECIES
Dy 162.50 Dy.upf
Tb 158.93 Tb.upf
Ac 227.00 Ac.upf
CELL_PARAMETERS angstrom
-1.369 2.629 -2.056
-6.765 -4.601 -1.379
1.318 6.728 10.889
ATOMIC_POSITIONS crystal
Dy 0.690 0.848 0.380
Dy 0.000 0.000 0.000
Dy 0.909 0.537 0.818
Dy 0.091 0.463 0.182
Dy 0.310 0.152 0.620
Tb 0.547 0.742 0.095
Tb 0.453 0.258 0.905
Ac 0.180 0.225 0.360
Ac 0.820 0.775 0.640
! * energy of formation from the pure elements: 20.2 kJ per mole of atoms
! * E_tot: -4.289 eV/atom
! * symmetry: No. 12
! * DOS at the Fermi energy: 12.9 states/eV/cell

! BeReS2N (PBE, optimized geometry); values from VASP
&SYSTEM
  ibrav = 0, nat = 5, ntyp = 4
/
ATOMIC_SPECIES
Be 9.01 Be.upf
Re 186.21 Re.upf
N 14.01 N.upf
S 32.06 S.upf
CELL_PARAMETERS angstrom
4.501 0.000 0.000
0.000 4.501 0.000
0.000 0.000 3.062
ATOMIC_POSITIONS crystal
Be 0.000 0.000 0.000
Re 0.500 0.500 0.500
N 0.000 0.000 0.500
S 0.000 0.500 0.000
S 0.500 0.000 0.000
! * E_tot: -5.662 eV/atom
! * symmetry: No. 123
! * DOS at the Fermi energy: 3.4 states/eV/cell
! * uncorrected formation energy: 0.89 eV/atom

! LiLa2PdPb (PBE, optimized geometry); values from VASP
&SYSTEM
  ibrav = 0, nat = 5, ntyp = 4
/
ATOMIC_SPECIES
La 138.91 La.upf
Pb 207.20 Pb.upf
Pd 106.42 Pd.upf
Li 6.94 Li.upf
CELL_PARAMETERS angstrom
-0.359 -1.605 -5.363
-4.964 -2.394 1.049
-2.208 4.104 -1.081
ATOMIC_POSITIONS crystal
La 0.500 0.000 0.000
La 0.000 0.500 0.000
Pb 0.500 0.500 0.500
Pd 0.000 0.000 0.000
Li 0.000 0.000 0.500
! * energy of formation from the pure elements: -41.4 kJ per mole of atoms
! * E_tot: -4.563 eV/atom
! * symmetry: No. 123
! * DOS at the Fermi energy: 2.9 states/eV/cell